VASP calculation (PBE) on a geometry-optimized CoSiOs2 structure.

Fermi-level density of states in states/eV per atom: 0.811
Raw formation energy in eV per atom: -0.0879

abc: 4.9299 4.9299 4.9299
angles: 146.29 129.74 61.89
Fractional coordinates of all 4 atoms:
Co: 0.0000 0.0000 0.0000
Si: 0.7899 0.2899 0.5000
Os: 0.2783 0.7783 0.5000
Os: 0.5506 0.5506 0.0000

***

VASP calculation (PBE) on a geometry-optimized InAg2GeS4 structure.

Fermi-level density of states in states/eV per atom: 0.409
Raw formation energy in eV per atom: -0.2586

abc: 7.0561 7.0561 7.0561
angles: 130.72 130.72 72.26
Fractional coordinates of all 8 atoms:
In: 0.0000 0.0000 0.0000
Ag: 0.2500 0.7500 0.5000
Ag: 0.5000 0.5000 0.0000
Ge: 0.7500 0.2500 0.5000
S: 0.1064 0.1278 0.4917
S: 0.3854 0.8936 0.0214
S: 0.6360 0.6146 0.5083
S: 0.8722 0.3640 0.9786

***

VASP calculation (PBE) on a geometry-optimized Hf2SnCl structure.

Offset from the most stable computed form in meV per atom: 489
Fermi-level density of states in states/eV per atom: 1.148
Raw formation energy in eV per atom: 0.2463

abc: 8.8374 8.8374 8.8374
angles: 146.44 146.44 48.19
Fractional coordinates of all 8 atoms:
Hf: 0.0600 0.6250 0.9350
Hf: 0.3750 0.3100 0.4350
Hf: 0.6900 0.1250 0.0650
Hf: 0.8750 0.9400 0.5650
Sn: 0.2500 0.7500 0.5000
Sn: 0.5000 0.5000 0.0000
Cl: 0.0000 0.0000 0.0000
Cl: 0.7500 0.2500 0.5000

***

VASP calculation (PBE) on a geometry-optimized InSiRu2 structure.

Fermi-level density of states in states/eV per atom: 1.296
Raw formation energy in eV per atom: 0.4080

abc: 4.4584 4.4584 4.4584
angles: 60.00 60.00 60.00
Fractional coordinates of all 4 atoms:
In: 0.0000 0.0000 0.0000
Si: 0.2500 0.2500 0.2500
Ru: 0.5000 0.5000 0.5000
Ru: 0.7500 0.7500 0.7500

***

VASP calculation (PBE) on a geometry-optimized NbRe2HgAs structure.

Formation enthalpy at 0 K in eV/atom: 1.281
Fermi-level density of states in states/eV per atom: 1.000

abc: 4.5836 4.5836 4.7363
angles: 90.00 90.00 90.00
Fractional coordinates of all 5 atoms:
Nb: 0.0000 0.0000 0.0000
Re: 0.0000 0.5000 0.5000
Re: 0.5000 0.0000 0.5000
Hg: 0.5000 0.5000 0.0000
As: 0.0000 0.0000 0.5000

***

VASP calculation (PBE) on a geometry-optimized LaZr3Pt structure.

Offset from the most stable computed form in meV per atom: 1315
Formation enthalpy at 0 K in eV/atom: 1.308
Fermi-level density of states in states/eV per atom: 2.117

abc: 5.0404 5.0404 5.0404
angles: 90.00 90.00 90.00
Fractional coordinates of all 5 atoms:
La: 0.0000 0.0000 0.0000
Zr: 0.0000 0.0000 0.5000
Zr: 0.0000 0.5000 0.0000
Zr: 0.5000 0.0000 0.0000
Pt: 0.5000 0.5000 0.5000

***

VASP calculation (PBE) on a geometry-optimized ZrSc2Tl structure.

Offset from the most stable computed form in meV per atom: 192
Formation enthalpy at 0 K in eV/atom: 0.025
Fermi-level density of states in states/eV per atom: 1.780

abc: 5.0645 5.0645 5.0645
angles: 60.00 60.00 60.00
Fractional coordinates of all 4 atoms:
Zr: 0.0000 0.0000 0.0000
Sc: 0.2500 0.2500 0.2500
Sc: 0.5000 0.5000 0.5000
Tl: 0.7500 0.7500 0.7500

***

VASP calculation (PBE) on a geometry-optimized CsTeSeN2 structure.

Offset from the most stable computed form in meV per atom: 1094
Fermi-level density of states in states/eV per atom: 0.937
Raw formation energy in eV per atom: 2.1772

abc: 4.4037 4.4037 7.4722
angles: 90.00 90.00 90.00
Fractional coordinates of all 5 atoms:
Cs: 0.0000 0.0000 0.0000
Te: 0.5000 0.5000 0.5000
Se: 0.0000 0.0000 0.5000
N: 0.0000 0.5000 0.0000
N: 0.5000 0.0000 0.0000

***

VASP calculation (PBE) on a geometry-optimized MnNiIN2 structure.

Offset from the most stable computed form in meV per atom: 0
Fermi-level density of states in states/eV per atom: 1.111
Raw formation energy in eV per atom: 0.8215

abc: 3.5975 3.5975 5.7956
angles: 90.00 90.00 90.00
Fractional coordinates of all 5 atoms:
Mn: 0.0000 0.0000 0.0000
Ni: 0.5000 0.5000 0.5000
I: 0.0000 0.0000 0.5000
N: 0.0000 0.5000 0.0000
N: 0.5000 0.0000 0.0000

***

VASP calculation (PBE) on a geometry-optimized La3BiBr3 structure.

Offset from the most stable computed form in meV per atom: 44
Fermi-level density of states in states/eV per atom: 0.820
Raw formation energy in eV per atom: -1.3841

abc: 11.6614 11.6614 11.6614
angles: 38.11 38.11 38.11
Fractional coordinates of all 14 atoms:
La: 0.0581 0.3706 0.7453
La: 0.2547 0.9419 0.6294
La: 0.3706 0.7453 0.0581
La: 0.6294 0.2547 0.9419
La: 0.7453 0.0581 0.3706
La: 0.9419 0.6294 0.2547
Bi: 0.3333 0.3333 0.3333
Bi: 0.6667 0.6667 0.6667
Br: 0.1122 0.7617 0.4638
Br: 0.2383 0.5362 0.8878
Br: 0.4638 0.1122 0.7617
Br: 0.5362 0.8878 0.2383
Br: 0.7617 0.4638 0.1122
Br: 0.8878 0.2383 0.5362

***

VASP calculation (PBE) on a geometry-optimized CrOsBr4 structure.

Fermi-level density of states in states/eV per atom: 1.470
Raw formation energy in eV per atom: 1.6851

abc: 6.1309 6.1309 6.1309
angles: 60.00 60.00 60.00
Fractional coordinates of all 6 atoms:
Cr: 0.0000 0.0000 0.0000
Os: 0.7500 0.7500 0.7500
Br: 0.3750 0.3750 0.3750
Br: 0.3750 0.3750 0.8749
Br: 0.3750 0.8749 0.3750
Br: 0.8749 0.3750 0.3750

***

VASP calculation (PBE) on a geometry-optimized Pr5Sm8Pb structure.

Formation enthalpy at 0 K in eV/atom: 0.100
Fermi-level density of states in states/eV per atom: 1.387

abc: 8.5700 8.5700 9.2184
angles: 120.23 120.23 64.47
Fractional coordinates of all 14 atoms:
Pr: 0.0000 0.0000 0.0000
Pr: 0.2907 0.6092 0.1317
Pr: 0.3908 0.7093 0.8683
Pr: 0.5724 0.2427 0.7509
Pr: 0.7573 0.4276 0.2491
Sm: 0.0000 0.8351 0.5631
Sm: 0.0800 0.4520 0.6746
Sm: 0.1649 0.0000 0.4369
Sm: 0.2745 0.3806 0.3585
Sm: 0.3973 0.1319 0.9546
Sm: 0.5480 0.9200 0.3254
Sm: 0.6194 0.7255 0.6415
Sm: 0.8681 0.6027 0.0454
Pb: 0.7476 0.2524 0.5000